Entry 1:
4
Lattice="2.047 1.182 11.136 -2.047 1.182 11.136 0.000 -2.364 11.136" Properties=species:S:1:pos:R:3 comment="Pr2EuTe | Alexandria | GGA-PBE | optimized geometry" sg="R-3m (166)" dos_ef_per_ev_cell=4.49 total_magnetization_mub_per_atom=1.838 raw_formation_energy_mev_per_atom=-399 dft_energy_ev_per_atom=-6.1431 pbc="T T T"
Pr 0.000 0.000 3.547
Pr 0.000 0.000 29.861
Eu 0.000 0.000 0.000
Te 0.000 0.000 16.704

---

Entry 2:
4
Lattice="0.000 3.939 3.939 3.939 0.000 3.939 3.939 3.939 0.000" Properties=species:S:1:pos:R:3 comment="PrEuTe2 | Alexandria | GGA-PBE | optimized geometry" sg="Fm-3m (225)" dos_ef_per_ev_cell=3.83 total_magnetization_mub_per_atom=1.979 raw_formation_energy_mev_per_atom=-1366 dft_energy_ev_per_atom=-6.7007 pbc="T T T"
Pr 0.000 0.000 0.000
Eu 3.939 3.939 3.939
Te 1.970 1.970 1.970
Te 5.909 5.909 5.909